VASP calculation (PBE) on a relaxed Sc3CoSb4 crystal.

The structure belongs to space group Pm (No. 6); the cell edges are 6.5299, 4.0954 and 7.1231 Å and the angles 90.00°, 90.30° and 90.00°. The asymmetric unit holds Sc at (0.0000, 0.0000, 0.0000), Sc at (0.0036, 0.5000, 0.5076), Sc at (0.5033, 0.5000, 0.4967), Co at (0.5019, 0.0000, 0.0084), Sb at (0.2683, 0.0000, 0.6864), Sb at (0.2864, 0.5000, 0.1448), Sb at (0.7069, 0.5000, 0.8609) and Sb at (0.7481, 0.0000, 0.3236).


VASP calculation (PBE) on a relaxed ScTaCo2Sb2 crystal.

The structure belongs to space group Pmn2_1 (No. 31); the cell edges are 4.2337, 8.4825 and 5.9978 Å and the angles 90.00°, 90.00° and 90.00°. The asymmetric unit holds Sc at (0.0000, 0.1238, 0.0000), Ta at (0.0000, 0.6246, 0.0145), Co at (0.0000, 0.3855, 0.2714), Co at (0.0000, 0.8611, 0.2440), Sb at (0.0000, 0.1232, 0.4994) and Sb at (0.0000, 0.6278, 0.5169).


VASP calculation (PBE) on a relaxed ScTaCoSb crystal.

The structure belongs to space group F-43m (No. 216); the cell edges are 6.5524, 6.5524 and 6.5524 Å and the angles 90.00°, 90.00° and 90.00°. The asymmetric unit holds Sc at (0.0000, 0.0000, 0.0000), Ta at (0.2500, 0.2500, 0.2500), Co at (0.2500, 0.2500, 0.7500) and Sb at (0.0000, 0.0000, 0.5000).


VASP calculation (PBE) on a relaxed ScCoTcSb crystal.

The structure belongs to space group F-43m (No. 216); the cell edges are 6.3167, 6.3167 and 6.3167 Å and the angles 90.00°, 90.00° and 90.00°. The asymmetric unit holds Sc at (0.0000, 0.0000, 0.0000), Co at (0.2500, 0.2500, 0.7500), Tc at (0.2500, 0.2500, 0.2500) and Sb at (0.0000, 0.0000, 0.5000).


VASP calculation (PBE) on a relaxed YScCoSb crystal.

The structure belongs to space group F-43m (No. 216); the cell edges are 6.8410, 6.8410 and 6.8410 Å and the angles 90.00°, 90.00° and 90.00°. The asymmetric unit holds Y at (0.0000, 0.0000, 0.0000), Sc at (0.2500, 0.2500, 0.2500), Co at (0.2500, 0.2500, 0.7500) and Sb at (0.0000, 0.0000, 0.5000).


VASP calculation (PBE) on a relaxed SmCoSb3 crystal.

The structure belongs to space group Pbcm (No. 57); the cell edges are 12.6076, 6.1532 and 12.0969 Å and the angles 90.00°, 90.00° and 90.00°. The asymmetric unit holds Sm at (0.1967, 0.2239, 0.2500), Sm at (0.2002, 0.7500, 0.0000), Co at (0.4003, 0.0373, 0.6356), Sb at (0.0026, 0.0131, 0.6242), Sb at (0.2773, 0.2500, 0.0000), Sb at (0.2831, 0.7340, 0.2500), Sb at (0.4443, 0.1151, 0.2500) and Sb at (0.4721, 0.7500, 0.0000).


Ordered VASP energy results: -5.91 -7.37 -7.14 -7.29 -6.07 -5.40; unit eV/atom.
Ordered size of the total moment results: 0.0161 0.0005 0.5234 0.0001 0.0040 0.0004; unit μB per atom.